Entry from Alexandria via LeMat-Bulk: a geometry-optimized LiTaAs structure (GGA-PBE).

CIF file:
```
data_LiTaAs
_cell_length_a 3.8961
_cell_length_b 3.8961
_cell_length_c 3.3186
_cell_angle_alpha 90.00
_cell_angle_beta 90.00
_cell_angle_gamma 120.00
_symmetry_space_group_name_H-M 'P -6 m 2'
_symmetry_Int_Tables_number 187
_symmetry_space_group_name_Hall 'P -6 2'
loop_
_atom_site_label
_atom_site_type_symbol
_atom_site_fract_x
_atom_site_fract_y
_atom_site_fract_z
Li1 Li 0.0000 0.0000 0.0000
Ta1 Ta 0.6667 0.3333 0.5000
As1 As 0.3333 0.6667 0.0000
```

Calculated values
**Final energy**: -6.20 eV/atom
**Energy above the most stable polymorph in this dataset**: 444.4 meV per atom
**DOS at the Fermi energy**: 0.270 states/eV per atom
**ΔE_f**: -0.06 eV per atom
**Crystal system**: hexagonal